# AcThS2N (PBE, relaxed)
data_AcThS2N
_symmetry_space_group_name_H-M 'P 4/n m m'
_symmetry_Int_Tables_number 129
_cell_length_a 4.1264
_cell_length_b 4.1264
_cell_length_c 14.9083
_cell_angle_alpha 90.00
_cell_angle_beta 90.00
_cell_angle_gamma 90.00
loop_
_symmetry_equiv_pos_as_xyz
'x,y,z'
'-x,-y,-z'
'-y+1/2,x,z'
'y+1/2,-x,-z'
'-x+1/2,-y+1/2,z'
'x+1/2,y+1/2,-z'
'y,-x+1/2,z'
'-y,x+1/2,-z'
'x+1/2,-y,-z'
'-x+1/2,y,z'
'-y,-x,-z'
'y,x,z'
'-x,y+1/2,-z'
'x,-y+1/2,z'
'y+1/2,x+1/2,-z'
'-y+1/2,-x+1/2,z'
loop_
_atom_site_label
_atom_site_type_symbol
_atom_site_fract_x
_atom_site_fract_y
_atom_site_fract_z
Ac1 Ac 0.2500 0.2500 0.1305
Th1 Th 0.2500 0.2500 0.5775
S1 S 0.2500 0.2500 0.3151
S2 S 0.2500 0.2500 0.9121
N1 N 0.2500 0.7500 0.5000
# VASP energy	-7.5563	eV/atom
# total magnetic moment	0.00	μB per formula unit